1.
A relaxed TlSi2Ag2 crystal, computed with PBE.

The structure in POSCAR format:
```
TlSi2Ag2
1.0
8.1880 0.0000 0.0000
0.0000 8.1880 0.0000
0.0000 0.0000 2.9450
Tl Si Ag
2 4 4
Cartesian
0.0000 0.0000 0.0000
4.0940 4.0940 0.0000
3.2245 7.3185 0.0000
7.3185 4.9635 0.0000
4.9635 0.8695 0.0000
0.8695 3.2245 0.0000
1.5283 5.6223 1.4725
5.6223 6.6598 1.4725
6.6598 2.5658 1.4725
2.5658 1.5283 1.4725
```

Total magnetization, μB/f.u.: 0.00
ΔE_f (raw), eV/atom: 0.375
DFT total energy, eV/atom: -3.408


2.
A relaxed TlSiAg2 crystal, computed with PBE.

The structure in POSCAR format:
```
TlSiAg2
1.0
-5.8713 -0.8966 -0.1989
-2.5143 -2.6047 4.7127
2.9038 4.5557 -2.4757
Ag Si Tl
2 1 1
Cartesian
-8.1215 -3.3910 4.3716
-4.4569 -1.8609 2.3990
-3.5802 0.9542 -0.2089
-1.9017 0.1002 2.2469
```

Total magnetization, μB/f.u.: 0.00
ΔE_f (raw), eV/atom: 0.348
DFT total energy, eV/atom: -3.025


3.
A relaxed TlSiAg2 crystal, computed with PBE.

The structure in POSCAR format:
```
TlSiAg2
1.0
-2.8789 1.5358 -3.2877
-4.3779 1.4733 -0.3446
0.6842 5.8923 0.4735
Ag Si Tl
2 1 1
Cartesian
0.5507 5.6198 0.3997
-3.1528 4.7232 -1.5056
-4.9295 6.6761 -2.3691
-1.6432 2.2254 -0.7897
```

Total magnetization, μB/f.u.: 0.00
ΔE_f (raw), eV/atom: 0.295
DFT total energy, eV/atom: -3.078


4.
A relaxed TlSiAg2 crystal, computed with PBE.

The structure in POSCAR format:
```
TlSiAg2
1.0
-2.2102 -2.3178 -0.0331
0.7294 -0.7361 3.0305
-5.5567 5.2613 2.6153
Ag Si Tl
2 1 1
Cartesian
-0.2116 0.2003 0.0996
-2.2310 -0.1156 2.2003
-2.5102 2.3768 1.1815
-4.8630 2.3765 3.4391
```

Total magnetization, μB/f.u.: 0.00
ΔE_f (raw), eV/atom: 0.312
DFT total energy, eV/atom: -3.061


5.
A relaxed TlSiAg2 crystal, computed with PBE.

The structure in POSCAR format:
```
TlSiAg2
1.0
-3.0068 -0.3042 3.2091
-0.9849 -4.0919 -1.3107
4.2718 -5.4880 6.5101
Tl Si Ag
2 2 4
Cartesian
0.0000 0.0000 0.0000
-0.3655 -3.9951 5.3342
-1.9959 -2.1980 0.9492
0.6455 -5.8889 3.0743
-0.7773 -2.0577 3.3016
-0.0806 -3.9833 1.3772
1.6555 -5.9783 5.5260
-0.2375 -7.7487 6.6121
```

Total magnetization, μB/f.u.: 0.00
ΔE_f (raw), eV/atom: 0.362
DFT total energy, eV/atom: -3.011


6.
A relaxed Tl3SiAg crystal, computed with PBE.

The structure in POSCAR format:
```
Tl3SiAg
1.0
-1.5232 0.6371 5.1555
-4.0358 -3.5278 -0.7565
3.2706 -4.0564 1.4676
Tl Si Ag
3 1 1
Cartesian
-2.0179 -1.7639 -0.3782
1.6353 -2.0282 0.7338
-0.7616 0.3186 2.5777
0.0000 0.0000 0.0000
-1.1442 -3.4735 2.9333
```

Total magnetization, μB/f.u.: 0.00
ΔE_f (raw), eV/atom: 0.514
DFT total energy, eV/atom: -2.561


- What is the DFT total energy in the second record?
  -3.025 eV/atom